No. 1
Computed, not measured: a relaxed structure of AcCdPRh3 at the PBE-GGA level of DFT.

Cell lengths 7.996, 7.996, 6.068 Å; angles 90.00, 90.00, 137.47 degrees
Sites, in units of the cell vectors:
Ac 0.230 0.770 0.750
Ac 0.770 0.230 0.250
Cd 0.118 0.882 0.250
Cd 0.882 0.118 0.750
P 0.447 0.553 0.250
P 0.553 0.447 0.750
Rh 0.249 0.249 0.000
Rh 0.249 0.249 0.500
Rh 0.299 0.701 0.250
Rh 0.701 0.299 0.750
Rh 0.751 0.751 0.000
Rh 0.751 0.751 0.500

* volume: 21.9 Å³ per atom
* SG: No. 63
* formation energy from the elements: -0.537 eV per atom
* VASP energy: -5.952 eV/atom
* total magnetization: 0.000 μB/atom


No. 2
Computed, not measured: a relaxed structure of Ac2CdP3Rh4 at the PBE-GGA level of DFT.

Cell lengths 4.174, 4.174, 10.867 Å; angles 90.00, 90.00, 90.00 degrees
Sites, in units of the cell vectors:
Ac 0.000 0.500 0.248
Ac 0.500 0.000 0.752
Cd 0.000 0.000 0.500
P 0.000 0.500 0.879
P 0.500 0.000 0.121
P 0.500 0.500 0.500
Rh 0.000 0.000 0.000
Rh 0.000 0.500 0.664
Rh 0.500 0.000 0.336
Rh 0.500 0.500 0.000

* volume: 18.9 Å³ per atom
* SG: No. 115
* formation energy from the elements: -0.853 eV per atom
* VASP energy: -6.329 eV/atom
* total magnetization: 0.000 μB/atom


No. 3
Computed, not measured: a relaxed structure of AcCdPS at the PBE-GGA level of DFT.

Cell lengths 4.631, 4.631, 9.701 Å; angles 90.00, 90.00, 90.00 degrees
Sites, in units of the cell vectors:
Ac 0.250 0.250 0.173
Ac 0.750 0.750 0.827
Cd 0.250 0.750 0.500
Cd 0.750 0.250 0.500
P 0.250 0.250 0.659
P 0.750 0.750 0.341
S 0.250 0.750 0.000
S 0.750 0.250 0.000

* volume: 26.0 Å³ per atom
* SG: No. 129
* VASP energy: -4.665 eV/atom
* total magnetization: 0.000 μB/atom


Table of DOS(E_F) (states/eV/f.u.), in record order: 2.55, 4.57, 0.12